This record from Alexandria describes crystalline KBe2RhF at its relaxed geometry. The functional is GGA-PBE.

POSCAR file:
```
KBe2RhF
1.0
5.7772 0.0000 0.0000
0.0000 5.7772 0.0000
0.0000 0.0000 5.2200
K Be Rh F
1 2 1 1
direct
0.0000 0.0000 0.0000
0.0000 0.5000 0.0000
0.5000 0.0000 0.0000
0.0000 0.0000 0.5000
0.5000 0.5000 0.5000
```

total magnetization = 1.063 μB per cell
calculated volume = 174.2 Å³/f.u.
formation energy from raw total energies = 1.98 eV/atom